No. 1
First-principles (GGA-PBE) data for an optimized crystal structure of Dy2YPd, as listed in Alexandria via LeMat-Bulk.

Cell lengths 3.583, 3.583, 8.430 Å; angles 90.00, 90.00, 90.00 degrees
Fractional positions:
1 Y 0.500 0.500 0.500
2 Pd 0.500 0.500 0.000
3 Dy 0.000 0.000 0.802
4 Dy 0.000 0.000 0.198

Results
**ΔH_f (0 K)**: -411.0 meV per atom
**Magnetic moment**: 0.00 μB per formula unit
**Theoretical density**: 7.984 Mg/m³

***

No. 2
First-principles (GGA-PBE) data for an optimized crystal structure of Y4ScTe, as listed in Alexandria via LeMat-Bulk.

Cell lengths 6.443, 6.443, 6.443 Å; angles 60.00, 60.00, 60.00 degrees
Fractional positions:
1 Y 0.870 0.377 0.377
2 Y 0.377 0.377 0.870
3 Y 0.377 0.870 0.377
4 Y 0.377 0.377 0.377
5 Sc 0.750 0.750 0.750
6 Te 0.000 0.000 0.000

Results
**Magnetic moment**: 2.13 μB per formula unit
**Theoretical density**: 4.637 Mg/m³
**E_tot**: -5.671 eV/atom